A plane-wave DFT calculation with GGA+U was carried out for crystalline SrVO3 at its relaxed geometry.

abc: 3.659 3.659 12.319
angles: 90.00 90.00 120.00
Each line ends with the local moment (μB).
Fractional positions:
Sr1 0.000 0.000 0.000  -0.01
Sr2 0.000 0.000 0.500  -0.01
O1 0.000 0.000 0.250  -0.14
O2 0.000 0.000 0.750  -0.14
O3 0.333 0.667 0.897  -0.06
O4 0.333 0.667 0.603  -0.06
O5 0.667 0.333 0.397  -0.06
O6 0.667 0.333 0.103  -0.06
V1 0.333 0.667 0.750  1.21
V2 0.667 0.333 0.250  1.21

Calculated values
VASP energy, eV for the cell shown: -70.220